TbCeHoMg | Alexandria via LeMat-Bulk | PBE | relaxed; magnetization = 1.38 Bohr magnetons per cell; space-group type = F-43m; DFT formation energy = 90.1 meV/atom
1.0
-3.449 3.563 2.382
-0.033 0.557 5.473
1.954 4.595 2.309
Ho Mg Ce Tb
1 1 1 1
Direct
0.500 0.500 0.500
0.000 0.000 0.000
0.750 0.750 0.750
0.250 0.250 0.250


Tl2InCoCl | Alexandria via LeMat-Bulk | PBE | relaxed; magnetization = 0.00 Bohr magnetons per cell; space-group type = P4/mmm; electronic total energy = -3.491 eV/atom
1.0
-3.153 -3.540 1.910
3.478 -3.618 -0.964
1.979 0.691 4.549
Co Tl Cl In
1 2 1 1
Direct
0.000 0.000 0.000
0.500 0.000 0.000
0.000 0.500 0.000
0.500 0.500 0.500
0.000 0.000 0.500


Nd3Y2Te8 | Alexandria via LeMat-Bulk | PBE | relaxed; magnetization = 0.00 Bohr magnetons per cell; space-group type = C2/m; electronic total energy = -5.284 eV/atom
1.0
7.649 0.000 0.278
0.000 8.881 0.000
-2.785 -4.441 7.260
Te Y Nd
8 2 3
Direct
0.078 0.875 0.751
0.416 0.878 0.252
0.922 0.125 0.249
0.888 0.619 0.237
0.112 0.381 0.763
0.584 0.122 0.748
0.584 0.626 0.748
0.416 0.374 0.252
0.667 0.750 0.500
0.333 0.250 0.500
0.000 0.259 0.000
0.000 0.741 0.000
0.500 0.000 0.000


Copy entry 1 word for word.
TbCeHoMg | Alexandria via LeMat-Bulk | PBE | relaxed; magnetization = 1.38 Bohr magnetons per cell; space-group type = F-43m; DFT formation energy = 90.1 meV/atom
1.0
-3.449 3.563 2.382
-0.033 0.557 5.473
1.954 4.595 2.309
Ho Mg Ce Tb
1 1 1 1
Direct
0.500 0.500 0.500
0.000 0.000 0.000
0.750 0.750 0.750
0.250 0.250 0.250